# TiMoPbO6

Crystalline TiMoPbO6 at its relaxed geometry (PBE+U, the Alexandria database).

```
TiMoPbO6
1.0
5.233 0.000 0.000
-2.616 4.532 0.000
0.000 0.000 10.774
O Ti Pb Mo
12 2 2 2
Direct
0.004 0.386 0.148
0.614 0.996 0.352
0.382 0.386 0.352
0.996 0.382 0.648
0.614 0.618 0.148
0.618 0.614 0.648
0.004 0.618 0.352
0.382 0.996 0.148
0.996 0.614 0.852
0.618 0.004 0.852
0.386 0.382 0.852
0.386 0.004 0.648
0.667 0.333 0.250
0.333 0.667 0.750
0.000 0.000 0.000
0.000 0.000 0.500
0.667 0.333 0.750
0.333 0.667 0.250
```

## Properties
E_tot   -7.385 eV/atom